Record 1
A relaxed structure of SnBiRu. Source: the Alexandria database, functional GGA-PBE.

```
data_SnBiRu
_symmetry_space_group_name_H-M 'F -4 3 m'
_symmetry_Int_Tables_number 216
_symmetry_space_group_name_Hall 'F -4 2 3'
_cell_length_a 6.5508
_cell_length_b 6.5508
_cell_length_c 6.5508
_cell_angle_alpha 90.00
_cell_angle_beta 90.00
_cell_angle_gamma 90.00
loop_
_atom_site_label
_atom_site_type_symbol
_atom_site_fract_x
_atom_site_fract_y
_atom_site_fract_z
_atom_site_occupancy
Sn1 Sn 0.0000 0.0000 0.0000 1
Bi1 Bi 0.0000 0.0000 0.5000 1
Ru1 Ru 0.2500 0.2500 0.2500 1
```

- electronic total energy (eV per formula unit) = -16.85
- formation energy (eV per atom) = 0.10
- density of states at the Fermi level (states/eV per atom) = 1.121
- size of the total moment (Bohr magnetons per cell) = 0.00


Record 2
A relaxed structure of SnBiRu3. Source: the Alexandria database, functional GGA-PBE.

```
data_SnBiRu3
_symmetry_space_group_name_H-M 'P m -3 m'
_symmetry_Int_Tables_number 221
_symmetry_space_group_name_Hall '-P 4 2 3'
_cell_length_a 4.9087
_cell_length_b 4.9087
_cell_length_c 4.9087
_cell_angle_alpha 90.00
_cell_angle_beta 90.00
_cell_angle_gamma 90.00
loop_
_atom_site_label
_atom_site_type_symbol
_atom_site_fract_x
_atom_site_fract_y
_atom_site_fract_z
_atom_site_occupancy
Sn1 Sn 0.0000 0.0000 0.0000 1
Bi1 Bi 0.5000 0.5000 0.5000 1
Ru1 Ru 0.0000 0.0000 0.5000 1
```

- electronic total energy (eV per formula unit) = -28.19
- formation energy (eV per atom) = 1.50
- density of states at the Fermi level (states/eV per atom) = 1.510
- distance to the lowest polymorph of the same formula (eV/f.u.) = 0.00
- size of the total moment (Bohr magnetons per cell) = 3.12


Record 3
A relaxed structure of SnBiRu2. Source: the Alexandria database, functional GGA-PBE.

```
data_SnBiRu2
_symmetry_space_group_name_H-M 'I -4 2 d'
_symmetry_Int_Tables_number 122
_symmetry_space_group_name_Hall 'I -4 2bw'
_cell_length_a 6.0390
_cell_length_b 6.0390
_cell_length_c 11.9421
_cell_angle_alpha 90.00
_cell_angle_beta 90.00
_cell_angle_gamma 90.00
loop_
_atom_site_label
_atom_site_type_symbol
_atom_site_fract_x
_atom_site_fract_y
_atom_site_fract_z
_atom_site_occupancy
Sn1 Sn 0.0000 0.0000 0.0000 1
Bi1 Bi 0.0000 0.0000 0.5000 1
Ru1 Ru 0.2431 0.2500 0.1250 1
```

- electronic total energy (eV per formula unit) = -22.96
- formation energy (eV per atom) = 0.87
- density of states at the Fermi level (states/eV per atom) = 1.149
- distance to the lowest polymorph of the same formula (eV/f.u.) = 2.45
- size of the total moment (Bohr magnetons per cell) = 0.00


Record 4
A relaxed structure of SnBiRu2. Source: the Alexandria database, functional GGA-PBE.

```
data_SnBiRu2
_symmetry_space_group_name_H-M 'F m -3 m'
_symmetry_Int_Tables_number 225
_symmetry_space_group_name_Hall '-F 4 2 3'
_cell_length_a 6.6338
_cell_length_b 6.6338
_cell_length_c 6.6338
_cell_angle_alpha 90.00
_cell_angle_beta 90.00
_cell_angle_gamma 90.00
loop_
_atom_site_label
_atom_site_type_symbol
_atom_site_fract_x
_atom_site_fract_y
_atom_site_fract_z
_atom_site_occupancy
Sn1 Sn 0.0000 0.0000 0.0000 1
Bi1 Bi 0.0000 0.0000 0.5000 1
Ru1 Ru 0.2500 0.2500 0.2500 1
```

- electronic total energy (eV per formula unit) = -25.42
- formation energy (eV per atom) = 0.25
- density of states at the Fermi level (states/eV per atom) = 1.240
- distance to the lowest polymorph of the same formula (eV/f.u.) = 0.00
- size of the total moment (Bohr magnetons per cell) = 1.12


Record 5
A relaxed structure of Sn3BiRu. Source: the Alexandria database, functional GGA-PBE.

```
data_Sn3BiRu
_symmetry_space_group_name_H-M 'P m -3 m'
_symmetry_Int_Tables_number 221
_symmetry_space_group_name_Hall '-P 4 2 3'
_cell_length_a 5.1971
_cell_length_b 5.1971
_cell_length_c 5.1971
_cell_angle_alpha 90.00
_cell_angle_beta 90.00
_cell_angle_gamma 90.00
loop_
_atom_site_label
_atom_site_type_symbol
_atom_site_fract_x
_atom_site_fract_y
_atom_site_fract_z
_atom_site_occupancy
Sn1 Sn 0.0000 0.0000 0.5000 1
Bi1 Bi 0.5000 0.5000 0.5000 1
Ru1 Ru 0.0000 0.0000 0.0000 1
```

- electronic total energy (eV per formula unit) = -24.64
- formation energy (eV per atom) = 0.11
- density of states at the Fermi level (states/eV per atom) = 0.913
- distance to the lowest polymorph of the same formula (eV/f.u.) = 0.00
- size of the total moment (Bohr magnetons per cell) = 0.00


Record 6
A relaxed structure of TlSnBiRu2. Source: the Alexandria database, functional GGA-PBE.

```
data_TlSnBiRu2
_symmetry_space_group_name_H-M 'P 4/m m m'
_symmetry_Int_Tables_number 123
_symmetry_space_group_name_Hall '-P 4 2'
_cell_length_a 4.9759
_cell_length_b 4.9759
_cell_length_c 5.4377
_cell_angle_alpha 90.00
_cell_angle_beta 90.00
_cell_angle_gamma 90.00
loop_
_atom_site_label
_atom_site_type_symbol
_atom_site_fract_x
_atom_site_fract_y
_atom_site_fract_z
_atom_site_occupancy
Tl1 Tl 0.0000 0.0000 0.0000 1
Sn1 Sn 0.0000 0.0000 0.5000 1
Bi1 Bi 0.5000 0.5000 0.0000 1
Ru1 Ru 0.0000 0.5000 0.5000 1
```

- electronic total energy (eV per formula unit) = -22.34
- formation energy (eV per atom) = 1.29
- density of states at the Fermi level (states/eV per atom) = 1.023
- size of the total moment (Bohr magnetons per cell) = 0.33


Record 7
A relaxed structure of SrBiRu3. Source: the Alexandria database, functional GGA-PBE.

```
data_SrBiRu3
_symmetry_space_group_name_H-M 'P m -3 m'
_symmetry_Int_Tables_number 221
_symmetry_space_group_name_Hall '-P 4 2 3'
_cell_length_a 4.9360
_cell_length_b 4.9360
_cell_length_c 4.9360
_cell_angle_alpha 90.00
_cell_angle_beta 90.00
_cell_angle_gamma 90.00
loop_
_atom_site_label
_atom_site_type_symbol
_atom_site_fract_x
_atom_site_fract_y
_atom_site_fract_z
_atom_site_occupancy
Sr1 Sr 0.0000 0.0000 0.0000 1
Bi1 Bi 0.5000 0.5000 0.5000 1
Ru1 Ru 0.0000 0.0000 0.5000 1
```

- electronic total energy (eV per formula unit) = -22.03
- formation energy (eV per atom) = 2.27
- density of states at the Fermi level (states/eV per atom) = 1.850
- distance to the lowest polymorph of the same formula (eV/f.u.) = 5.01
- size of the total moment (Bohr magnetons per cell) = 3.22


Record 8
A relaxed structure of Sr2Bi2Ru. Source: the Alexandria database, functional GGA-PBE.

```
data_Sr2Bi2Ru
_symmetry_space_group_name_H-M 'P 4/m b m'
_symmetry_Int_Tables_number 127
_symmetry_space_group_name_Hall '-P 4 2ab'
_cell_length_a 7.4673
_cell_length_b 7.4673
_cell_length_c 5.2631
_cell_angle_alpha 90.00
_cell_angle_beta 90.00
_cell_angle_gamma 90.00
loop_
_atom_site_label
_atom_site_type_symbol
_atom_site_fract_x
_atom_site_fract_y
_atom_site_fract_z
_atom_site_occupancy
Sr1 Sr 0.1700 0.3300 0.0000 1
Bi1 Bi 0.1502 0.6502 0.5000 1
Ru1 Ru 0.0000 0.0000 0.5000 1
```

- electronic total energy (eV per formula unit) = -21.68
- formation energy (eV per atom) = -0.26
- density of states at the Fermi level (states/eV per atom) = 0.497
- size of the total moment (Bohr magnetons per cell) = 0.00